A plane-wave DFT calculation with GGA-PBE was carried out for a geometry-optimized Tb4Te2Ir structure.

Calculated values
Density, g/cm³: 8.5
Calculated total energy, eV/atom: -5.854
Calculated volume, Å³ per atom: 30.13
Formation energy (no corrections), kJ/mol of formula units: -705
Spin magnetization, Bohr magnetons per cell: 0.00

Cell lengths 7.9262, 12.4680, 4.2678 Å; angles 90.00, 90.00, 90.00 degrees
Closest atoms and distances in Å follow each position.
Space group Pbam (No. 55)
Symmetry-distinct sites (fractional):
Tb  0.1387  0.1993  0.0000 (multiplicity 4)  1 Ir 2.72
Tb  0.2052  0.9463  0.5000 (multiplicity 4)  2 Ir 2.77
Te  0.0707  0.6678  0.5000 (multiplicity 4)  6 Tb 3.16-3.28
Ir  0.0000  0.0000  0.0000 (multiplicity 2)  6 Tb 2.72-2.77

A plane-wave DFT calculation with GGA-PBE was carried out for a geometry-optimized Tb4Te3Ir structure.

Calculated values
Density, g/cm³: 7.2
Calculated total energy, eV/atom: -5.544
Calculated volume, Å³ per atom: 34.97
Formation energy (no corrections), kJ/mol of formula units: -728
Spin magnetization, Bohr magnetons per cell: 0.01

Cell lengths 6.0989, 10.0054, 9.1689 Å; angles 90.00, 90.00, 90.00 degrees
Closest atoms and distances in Å follow each position.
Space group Pmmn (No. 59, origin choice 2)
Symmetry-distinct sites (fractional):
Tb  0.2500  0.0355  0.1906 (multiplicity 4)  1 Ir 2.62
Tb  0.2500  0.2500  0.6389 (multiplicity 2)  1 Ir 2.61
Tb  0.2500  0.7500  0.6504 (multiplicity 2)  2 Ir 3.05, 3 Te 3.08-3.13
Te  0.2500  0.0047  0.8489 (multiplicity 4)  5 Tb 3.10-3.15
Te  0.2500  0.7500  0.3139 (multiplicity 2)  5 Tb 3.07-3.08
Ir  0.2500  0.2500  0.3541 (multiplicity 2)  3 Tb 2.61-2.62

A plane-wave DFT calculation with GGA-PBE was carried out for a geometry-optimized Tb2TeIr structure.

Calculated values
Density, g/cm³: 9.8
Calculated total energy, eV/atom: -6.347
Calculated volume, Å³ per atom: 27.01
Formation energy (no corrections), kJ/mol of formula units: -398
Spin magnetization, Bohr magnetons per cell: 0.00

Cell lengths 4.1447, 4.1447, 21.7841 Å; angles 90.00, 90.00, 120.00 degrees
Closest atoms and distances in Å follow each position.
Space group R-3m (No. 166, hexagonal axes)
Symmetry-distinct sites (fractional):
Tb  0.0000  0.0000  0.2360 (multiplicity 6)  3 Ir 2.83
Te  0.0000  0.0000  0.0000 (multiplicity 3)  6 Tb 3.20
Ir  0.0000  0.0000  0.5000 (multiplicity 3)  6 Tb 2.83

A plane-wave DFT calculation with GGA-PBE was carried out for a geometry-optimized Tb4Te3Ir structure.

Calculated values
Density, g/cm³: 8.7
Calculated total energy, eV/atom: -5.813
Calculated volume, Å³ per atom: 29.03
Formation energy (no corrections), kJ/mol of formula units: -935
Spin magnetization, Bohr magnetons per cell: 0.00

Cell lengths 8.9083, 12.3459, 4.2233 Å; angles 90.00, 90.00, 90.00 degrees
Closest atoms and distances in Å follow each position.
Space group Cmmm (No. 65)
Symmetry-distinct sites (fractional):
Tb  0.0000  0.2283  0.0000 (multiplicity 4)  1 Ir 2.82, 4 Te 3.08
Tb  0.2094  0.0000  0.5000 (multiplicity 4)  2 Ir 2.82, 2 Te 3.11
Te  0.0000  0.5000  0.0000 (multiplicity 2)  6 Tb 3.34-3.35
Te  0.2500  0.2500  0.5000 (multiplicity 4)  6 Tb 3.08-3.11
Ir  0.0000  0.0000  0.0000 (multiplicity 2)  6 Tb 2.82

A plane-wave DFT calculation with GGA-PBE was carried out for a geometry-optimized Tb5Te5Ir structure.

Calculated values
Density, g/cm³: 7.8
Calculated total energy, eV/atom: -5.587
Calculated volume, Å³ per atom: 31.50
Formation energy (no corrections), kJ/mol of formula units: -1325
Spin magnetization, Bohr magnetons per cell: 0.00

Cell lengths 13.8371, 6.1651, 8.5934 Å; angles 90.00, 109.04, 90.00 degrees
Closest atoms and distances in Å follow each position.
Space group C2/m (No. 12)
Symmetry-distinct sites (fractional):
Tb  0.0000  0.0000  0.0000 (multiplicity 2)  2 Ir 3.08, 4 Te 3.13-3.14
Tb  0.1483  0.5000  0.8496 (multiplicity 4)  1 Ir 2.76, 1 Te 3.04
Tb  0.1490  0.5000  0.3067 (multiplicity 4)  1 Ir 2.77, 1 Te 3.04
Te  0.0000  0.5000  0.5000 (multiplicity 2)  4 Tb 3.04
Te  0.1660  0.0000  0.8247 (multiplicity 4)  5 Tb 3.11-3.13
Te  0.1823  0.0000  0.3334 (multiplicity 4)  5 Tb 3.11-3.22
Ir  0.0000  0.5000  0.0000 (multiplicity 2)  6 Tb 2.76-3.08

A plane-wave DFT calculation with GGA-PBE was carried out for a geometry-optimized Tb3TeIr structure.

Calculated values
Density, g/cm³: 8.5
Calculated total energy, eV/atom: -6.044
Calculated volume, Å³ per atom: 31.25
Formation energy (no corrections), kJ/mol of formula units: -417
Spin magnetization, Bohr magnetons per cell: 0.00

Cell lengths 15.4960, 11.6876, 7.0010 Å; angles 90.00, 99.70, 90.00 degrees
Closest atoms and distances in Å follow each position.
Space group C2/c (No. 15)
Symmetry-distinct sites (fractional):
Tb  0.0972  0.0657  0.4621 (multiplicity 8)  1 Ir 2.70
Tb  0.0969  0.4114  0.4448 (multiplicity 8)  3 Ir 2.76-2.83
Tb  0.0983  0.2502  0.9588 (multiplicity 8)  2 Ir 2.71-2.76
Te  0.2463  0.0932  0.8240 (multiplicity 8)  6 Tb 3.14-3.42
Ir  0.0000  0.2278  0.2500 (multiplicity 4)  6 Tb 2.70-2.83
Ir  0.0000  0.4139  0.7500 (multiplicity 4)  6 Tb 2.71-2.81

Question: The highest calculated volume belongs to which entry?
Answer: number 2

Question: Among the records above, which one has the lowest calculated volume?
Answer: Tb2TeIr

Repeat the second record exactly.
A plane-wave DFT calculation with GGA-PBE was carried out for a geometry-optimized Tb4Te3Ir structure.

Calculated values
Density, g/cm³: 7.2
Calculated total energy, eV/atom: -5.544
Calculated volume, Å³ per atom: 34.97
Formation energy (no corrections), kJ/mol of formula units: -728
Spin magnetization, Bohr magnetons per cell: 0.01

Cell lengths 6.0989, 10.0054, 9.1689 Å; angles 90.00, 90.00, 90.00 degrees
Closest atoms and distances in Å follow each position.
Space group Pmmn (No. 59, origin choice 2)
Symmetry-distinct sites (fractional):
Tb  0.2500  0.0355  0.1906 (multiplicity 4)  1 Ir 2.62
Tb  0.2500  0.2500  0.6389 (multiplicity 2)  1 Ir 2.61
Tb  0.2500  0.7500  0.6504 (multiplicity 2)  2 Ir 3.05, 3 Te 3.08-3.13
Te  0.2500  0.0047  0.8489 (multiplicity 4)  5 Tb 3.10-3.15
Te  0.2500  0.7500  0.3139 (multiplicity 2)  5 Tb 3.07-3.08
Ir  0.2500  0.2500  0.3541 (multiplicity 2)  3 Tb 2.61-2.62